## Ni3AgMo (GGA-PBEsol)

Data for a relaxed structure of Ni3AgMo.

Properties
energy relative to the elements = 1.3935 eV per atom
total magnetic moment = 0.00 μB per cell
DFT total energy = -5.317 eV per atom

CIF file:
```
data_Ni3AgMo
_symmetry_space_group_name_H-M 'P m -3 m'
_symmetry_Int_Tables_number 221
_symmetry_space_group_name_Hall '-P 4 2 3'
_cell_length_a 4.3909
_cell_length_b 4.3909
_cell_length_c 4.3909
_cell_angle_alpha 90.00
_cell_angle_beta 90.00
_cell_angle_gamma 90.00
loop_
_atom_site_label
_atom_site_type_symbol
_atom_site_fract_x
_atom_site_fract_y
_atom_site_fract_z
_atom_site_occupancy
Ni1 Ni 0.0000 0.0000 0.5000 1
Ag1 Ag 0.5000 0.5000 0.5000 1
Mo1 Mo 0.0000 0.0000 0.0000 1
```



## Sb8Cl2O11 (GGA-PBEsol)

Data for a relaxed structure of Sb8Cl2O11.

Properties
total magnetic moment = 0.00 μB per cell
DFT total energy = -5.894 eV per atom
energy above the lowest structure with this stoichiometry = 6 meV per atom

CIF file:
```
data_Sb8Cl2O11
_symmetry_space_group_name_H-M 'P 1 21/c 1'
_symmetry_Int_Tables_number 14
_symmetry_space_group_name_Hall '-P 2ybc'
_cell_length_a 10.9249
_cell_length_b 4.1013
_cell_length_c 17.7257
_cell_angle_alpha 90.00
_cell_angle_beta 98.99
_cell_angle_gamma 90.00
loop_
_atom_site_label
_atom_site_type_symbol
_atom_site_fract_x
_atom_site_fract_y
_atom_site_fract_z
_atom_site_occupancy
Sb1 Sb 0.0501 0.1727 0.4274 1
Sb2 Sb 0.1337 0.0210 0.7620 1
Sb3 Sb 0.3092 0.6723 0.5248 1
Sb4 Sb 0.3555 0.5411 0.7229 1
Cl1 Cl 0.4813 0.0362 0.5971 1
O1 O 0.0000 0.0000 0.0000 1
O2 O 0.1401 0.5065 0.3751 1
O3 O 0.1963 0.5322 0.7713 1
O4 O 0.2038 0.0725 0.5001 1
O5 O 0.2476 0.5855 0.6214 1
O6 O 0.3090 0.0377 0.7436 1
```



## TaSiHgH2 (GGA-PBEsol)

Data for a relaxed structure of TaSiHgH2.

Properties
total magnetic moment = 0.00 μB per cell
DFT total energy = -4.516 eV per atom

CIF file:
```
data_TaSiHgH2
_symmetry_space_group_name_H-M 'P 4/m m m'
_symmetry_Int_Tables_number 123
_symmetry_space_group_name_Hall '-P 4 2'
_cell_length_a 3.5610
_cell_length_b 3.5610
_cell_length_c 5.9026
_cell_angle_alpha 90.00
_cell_angle_beta 90.00
_cell_angle_gamma 90.00
loop_
_atom_site_label
_atom_site_type_symbol
_atom_site_fract_x
_atom_site_fract_y
_atom_site_fract_z
_atom_site_occupancy
Ta1 Ta 0.0000 0.0000 0.0000 1
Si1 Si 0.5000 0.5000 0.0000 1
Hg1 Hg 0.0000 0.0000 0.5000 1
H1 H 0.0000 0.5000 0.5000 1
```



## Zn3P (GGA-PBEsol)

Data for a relaxed structure of Zn3P.

Properties
energy relative to the elements = 0.0966 eV per atom
total magnetic moment = 0.00 μB per cell
DFT total energy = -2.538 eV per atom
energy above the lowest structure with this stoichiometry = 0 meV per atom

CIF file:
```
data_Zn3P
_symmetry_space_group_name_H-M 'I 4/m m m'
_symmetry_Int_Tables_number 139
_symmetry_space_group_name_Hall '-I 4 2'
_cell_length_a 3.3979
_cell_length_b 3.3979
_cell_length_c 11.4755
_cell_angle_alpha 90.00
_cell_angle_beta 90.00
_cell_angle_gamma 90.00
loop_
_atom_site_label
_atom_site_type_symbol
_atom_site_fract_x
_atom_site_fract_y
_atom_site_fract_z
_atom_site_occupancy
Zn1 Zn 0.0000 0.0000 0.0000 1
Zn2 Zn 0.0000 0.0000 0.2918 1
P1 P 0.0000 0.0000 0.5000 1
```



## BeSb2W (GGA-PBEsol)

Data for a relaxed structure of BeSb2W.

Properties
total magnetic moment = 0.00 μB per cell
DFT total energy = -6.200 eV per atom

CIF file:
```
data_BeSb2W
_symmetry_space_group_name_H-M 'R -3 m'
_symmetry_Int_Tables_number 166
_symmetry_space_group_name_Hall '-R 3 2"'
_cell_length_a 3.4172
_cell_length_b 3.4172
_cell_length_c 21.7500
_cell_angle_alpha 90.00
_cell_angle_beta 90.00
_cell_angle_gamma 120.00
loop_
_atom_site_label
_atom_site_type_symbol
_atom_site_fract_x
_atom_site_fract_y
_atom_site_fract_z
_atom_site_occupancy
Be1 Be 0.0000 0.0000 0.0000 1
Sb1 Sb 0.0000 0.0000 0.2552 1
W1 W 0.0000 0.0000 0.5000 1
```



## Li2TaCl (GGA-PBEsol)

Data for a relaxed structure of Li2TaCl.

Properties
total magnetic moment = 0.00 μB per cell
DFT total energy = -4.701 eV per atom
energy above the lowest structure with this stoichiometry = 0 meV per atom

CIF file:
```
data_Li2TaCl
_symmetry_space_group_name_H-M 'C m m 2'
_symmetry_Int_Tables_number 35
_symmetry_space_group_name_Hall 'C 2 -2'
_cell_length_a 2.9941
_cell_length_b 5.1556
_cell_length_c 9.1242
_cell_angle_alpha 90.00
_cell_angle_beta 90.00
_cell_angle_gamma 90.00
loop_
_atom_site_label
_atom_site_type_symbol
_atom_site_fract_x
_atom_site_fract_y
_atom_site_fract_z
_atom_site_occupancy
Li1 Li 0.0000 0.0000 0.0000 1
Li2 Li 0.0000 0.5000 0.2876 1
Ta1 Ta 0.0000 0.5000 0.7206 1
Cl1 Cl 0.0000 0.0000 0.4884 1
```



## Mg3CoCl (GGA-PBEsol)

Data for a relaxed structure of Mg3CoCl.

Properties
total magnetic moment = 0.29 μB per cell
DFT total energy = -2.777 eV per atom
energy above the lowest structure with this stoichiometry = 0 meV per atom

CIF file:
```
data_Mg3CoCl
_symmetry_space_group_name_H-M 'P m -3 m'
_symmetry_Int_Tables_number 221
_symmetry_space_group_name_Hall '-P 4 2 3'
_cell_length_a 4.8383
_cell_length_b 4.8383
_cell_length_c 4.8383
_cell_angle_alpha 90.00
_cell_angle_beta 90.00
_cell_angle_gamma 90.00
loop_
_atom_site_label
_atom_site_type_symbol
_atom_site_fract_x
_atom_site_fract_y
_atom_site_fract_z
_atom_site_occupancy
Mg1 Mg 0.0000 0.0000 0.5000 1
Co1 Co 0.0000 0.0000 0.0000 1
Cl1 Cl 0.5000 0.5000 0.5000 1
```



## Sc2CoAu (GGA-PBEsol)

Data for a relaxed structure of Sc2CoAu.

Properties
energy relative to the elements = -0.5179 eV per atom
total magnetic moment = 0.39 μB per cell
DFT total energy = -6.736 eV per atom

CIF file:
```
data_Sc2CoAu
_symmetry_space_group_name_H-M 'P 4/m m m'
_symmetry_Int_Tables_number 123
_symmetry_space_group_name_Hall '-P 4 2'
_cell_length_a 4.5543
_cell_length_b 4.5543
_cell_length_c 3.2553
_cell_angle_alpha 90.00
_cell_angle_beta 90.00
_cell_angle_gamma 90.00
loop_
_atom_site_label
_atom_site_type_symbol
_atom_site_fract_x
_atom_site_fract_y
_atom_site_fract_z
_atom_site_occupancy
Sc1 Sc 0.0000 0.5000 0.0000 1
Co1 Co 0.0000 0.0000 0.5000 1
Au1 Au 0.5000 0.5000 0.5000 1
```



> The highest DFT total energy belongs to which entry?

Zn3P